No. 1
LiYLuSi: relaxed, PBE.

Computed properties:
For the magnetization, the calculation gives 0.0 μB/cell. The calculation puts the total energy at -4.9313 eV per atom.

Cell: 6.9492 6.9492 6.9492 Å, 90.00 90.00 90.00°
With the nearest neighbours (Å) after each atom.
Space group F-43m (No. 216)
Inequivalent atoms, fractional coordinates:
Li: 0.0000 0.0000 0.0000 [4 per cell]  4 Lu 3.01, 4 Y 3.01
Y: 0.2500 0.2500 0.7500 [4 per cell]  4 Li 3.01, 4 Si 3.01
Lu: 0.2500 0.2500 0.2500 [4 per cell]  4 Li 3.01, 4 Si 3.01
Si: 0.0000 0.0000 0.5000 [4 per cell]  4 Y 3.01, 4 Lu 3.01

No. 2
Mg2ZrS2: relaxed, PBE.

Computed properties:
For the magnetization, the calculation gives 0.0 μB/cell. The calculation puts the energy relative to the lowest polymorph listed for this composition at 1.942 eV per formula unit.

Cell: 3.5797 3.5797 14.6076 Å, 90.00 90.00 90.00°
With the nearest neighbours (Å) after each atom.
Space group I4/mmm (No. 139)
Inequivalent atoms, fractional coordinates:
Mg: 0.0000 0.5000 0.2500 [4 per cell]  4 Mg 2.53
Zr: 0.0000 0.0000 0.0000 [2 per cell]  8 S 2.90
S: 0.0000 0.0000 0.4037 [4 per cell]  1 S 2.81, 4 Mg 2.87, 4 Zr 2.90

Question: Look up the magnetization of the first one.
Answer: 0.0 μB/cell